Entry from Alexandria via LeMat-Bulk: a relaxed structure of Mn2FeP (PBE).

```
data_Mn2FeP
_symmetry_space_group_name_H-M 'R 3 m'
_symmetry_Int_Tables_number 160
_symmetry_space_group_name_Hall 'R 3 -2"'
_cell_length_a 2.5680
_cell_length_b 2.5680
_cell_length_c 22.5787
_cell_angle_alpha 90.00
_cell_angle_beta 90.00
_cell_angle_gamma 120.00
loop_
_atom_site_label
_atom_site_type_symbol
_atom_site_fract_x
_atom_site_fract_y
_atom_site_fract_z
Mn1 Mn 0.0000 0.0000 0.0000
Mn2 Mn 0.0000 0.0000 0.2474
Fe1 Fe 0.0000 0.0000 0.4924
P1 P 0.0000 0.0000 0.7480
```

For the total magnetization, the calculation gives 0.18 μB/f.u. The calculation puts the formation energy at -0.0124 eV/atom. The total energy is -96.78 eV per cell.